DFT (PBE) results for a geometry-optimized NbP3Cl structure.

Values from the calculation:
Relative energy among the computed polymorphs = 0.838 eV/atom
Formation energy from raw total energies = 1.20 eV/atom

```
5
Lattice="4.4390 0.0000 0.0000 0.0000 4.4390 0.0000 0.0000 0.0000 4.4390" Properties=species:S:1:pos:R:3 pbc="T T T"
Nb 0.0000 0.0000 0.0000
P 0.0000 2.2195 2.2195
P 2.2195 0.0000 2.2195
P 2.2195 2.2195 0.0000
Cl 2.2195 2.2195 2.2195
```

---

DFT (PBE) results for a geometry-optimized NbPCl3 structure.

Values from the calculation:
Relative energy among the computed polymorphs = 0.000 eV/atom
Formation energy from raw total energies = -0.02 eV/atom

```
5
Lattice="4.9488 0.0000 0.0000 0.0000 4.9488 0.0000 0.0000 0.0000 4.9488" Properties=species:S:1:pos:R:3 pbc="T T T"
Nb 0.0000 0.0000 0.0000
P 2.4744 2.4744 2.4744
Cl 0.0000 0.0000 2.4744
Cl 0.0000 2.4744 0.0000
Cl 2.4744 0.0000 0.0000
```

---

DFT (PBE) results for a geometry-optimized NbPCl3 structure.

Values from the calculation:
Relative energy among the computed polymorphs = 0.675 eV/atom
Formation energy from raw total energies = 0.65 eV/atom

```
5
Lattice="4.8973 0.0000 0.0000 0.0000 4.8973 0.0000 0.0000 0.0000 4.8973" Properties=species:S:1:pos:R:3 pbc="T T T"
Nb 0.0000 0.0000 0.0000
P 2.4486 2.4486 2.4486
Cl 0.0000 2.4486 2.4486
Cl 2.4486 0.0000 2.4486
Cl 2.4486 2.4486 0.0000
```

---

DFT (PBE) results for a geometry-optimized NbPCl structure.

Values from the calculation:
Formation energy from raw total energies = -0.85 eV/atom

```
6
Lattice="4.4707 -1.6298 0.0000 4.4707 1.6298 0.0000 -2.7746 0.0000 9.1357" Properties=species:S:1:pos:R:3 pbc="T T T"
Nb 1.3240 0.0000 1.0038
Nb 4.8427 0.0000 8.1320
P 3.8316 0.0000 1.0143
P 2.3351 0.0000 8.1214
Cl -0.1519 0.0000 6.2236
Cl 6.3186 0.0000 2.9121
```

---

DFT (PBE) results for a geometry-optimized Nb3PCl structure.

Values from the calculation:
Relative energy among the computed polymorphs = 0.000 eV/atom
Formation energy from raw total energies = 0.58 eV/atom

```
5
Lattice="4.7016 0.0000 0.0000 0.0000 4.7016 0.0000 0.0000 0.0000 4.7016" Properties=species:S:1:pos:R:3 pbc="T T T"
Nb 0.0000 0.0000 2.3508
Nb 0.0000 2.3508 0.0000
Nb 2.3508 0.0000 0.0000
P 0.0000 0.0000 0.0000
Cl 2.3508 2.3508 2.3508
```

---

DFT (PBE) results for a geometry-optimized NbP3Cl structure.

Values from the calculation:
Relative energy among the computed polymorphs = 0.000 eV/atom
Formation energy from raw total energies = 0.36 eV/atom

```
5
Lattice="4.8262 0.0000 0.0000 0.0000 4.8262 0.0000 0.0000 0.0000 4.8262" Properties=species:S:1:pos:R:3 pbc="T T T"
Nb 0.0000 0.0000 0.0000
P 0.0000 0.0000 2.4131
P 0.0000 2.4131 0.0000
P 2.4131 0.0000 0.0000
Cl 2.4131 2.4131 2.4131
```

---

DFT (PBE) results for a geometry-optimized NbPCl10 structure.

Values from the calculation:
Formation energy from raw total energies = -0.95 eV/atom

```
24
Lattice="7.6221 0.0000 0.0000 2.6373 7.2209 0.0000 1.3646 1.4641 14.5511" Properties=species:S:1:pos:R:3 pbc="T T T"
Nb 0.0000 0.0000 0.0000
Nb 0.6823 0.7320 7.2755
P 4.4399 3.3265 3.9085
P 7.1841 5.3584 10.6426
Cl 3.5796 6.1663 8.8385
Cl 2.2058 2.0661 8.5381
Cl 1.3307 0.4349 1.9190
Cl 2.7785 3.9864 3.1177
Cl 3.0766 2.4167 13.1405
Cl 5.0044 6.5424 14.3365
Cl 5.1431 7.0942 5.9979
Cl 4.2772 3.3069 5.8555
Cl 6.7900 7.1574 11.3011
Cl 5.7292 4.1631 11.1939
Cl 5.8948 4.5219 3.3572
Cl 4.8340 1.5276 3.2500
Cl 7.3468 5.3780 8.6956
Cl 6.4809 1.5907 8.5532
Cl 6.6196 2.1425 0.2146
Cl 8.5474 6.2683 1.4106
Cl 8.8455 4.6986 11.4334
Cl 10.2934 8.2501 12.6321
Cl 9.4183 6.6189 6.0130
Cl 8.0444 2.5187 5.7126
```

---

DFT (PBE) results for a geometry-optimized NbP2PbCl structure.

Values from the calculation:
Relative energy among the computed polymorphs = 1.351 eV/atom
Formation energy from raw total energies = 1.26 eV/atom

```
5
Lattice="5.1495 0.0000 0.0000 0.0000 5.1495 0.0000 0.0000 0.0000 5.1951" Properties=species:S:1:pos:R:3 pbc="T T T"
Nb 0.0000 0.0000 0.0000
P 0.0000 2.5747 2.5976
P 2.5747 0.0000 2.5976
Pb 2.5747 2.5747 2.5976
Cl 2.5747 2.5747 0.0000
```

---

What is the formula in the sixth record? NbP3Cl

---

formation energy from raw total energies of number 4 (NbPCl)? -0.85 eV/atom